No. 1
The following is a PBE calculation of CaScTa2I after structural relaxation, from Alexandria.

Unit cell a=5.090 b=5.090 c=5.436 alpha=90.00 beta=90.00 gamma=90.00
Space group P4/mmm (No. 123)
Inequivalent atoms, fractional coordinates:
Ca: 0.000 0.000 0.000
Sc: 0.500 0.500 0.000
Ta: 0.000 0.500 0.500
I: 0.000 0.000 0.500

Values from the calculation:
Theoretical density: 6.77 g/cm3
Calculated volume: 28.2 Å³/atom
E_tot: -26.7 eV for the cell shown

No. 2
The following is a PBE calculation of ScTlBr2 after structural relaxation, from Alexandria.

Unit cell a=3.564 b=6.702 c=10.505 alpha=90.00 beta=90.00 gamma=90.00
Space group Cmmm (No. 65)
Inequivalent atoms, fractional coordinates:
Sc: 0.000 0.000 0.000
Tl: 0.000 0.000 0.500
Br: 0.000 0.500 0.190

Values from the calculation:
Theoretical density: 5.41 g/cm3
Offset from the most stable computed form: 174 meV/atom
Calculated volume: 31.4 Å³/atom

No. 3
The following is a PBE calculation of Pm4PuTh3Se8 after structural relaxation, from Alexandria.

Unit cell a=8.3246 b=8.3246 c=20.8223 alpha=90.00 beta=90.00 gamma=120.00
Space group R-3m (No. 166, hexagonal axes)
Inequivalent atoms, fractional coordinates:
Pm: 0.0000 0.0000 0.0000
Pm: 0.0000 0.5000 0.0000
Pu: 0.0000 0.0000 0.5000
Th: 0.0000 0.5000 0.5000
Se: 0.0000 0.0000 0.2514
Se: 0.0031 0.5015 0.2502

Values from the calculation:
Theoretical density: 8.58 g/cm3
Calculated volume: 26.0 Å³/atom
E_tot: -331.3 eV for the cell shown

No. 4
The following is a PBE calculation of BaNi9P5 after structural relaxation, from Alexandria.

Unit cell a=6.5272 b=6.5272 c=10.9114 alpha=90.00 beta=90.00 gamma=120.00
Space group P6_3/mmc (No. 194)
Inequivalent atoms, fractional coordinates:
Ba: 0.0000 0.0000 0.0000
Ni: 0.0716 0.5358 0.1074
Ni: 0.2028 0.4056 0.7500
P: 0.1761 0.3522 0.2500
P: 0.3333 0.6667 0.5618

Values from the calculation:
Theoretical density: 6.77 g/cm3
ΔH_f (0 K): -965.5 kJ/mol of formula units
Calculated volume: 13.4 Å³/atom

No. 5
The following is a PBE calculation of InRe3Cl after structural relaxation, from Alexandria.

Unit cell a=5.177 b=5.177 c=5.177 alpha=90.00 beta=90.00 gamma=90.00
Space group Pm-3m (No. 221)
Inequivalent atoms, fractional coordinates:
In: 0.000 0.000 0.000
Re: 0.000 0.000 0.500
Cl: 0.500 0.500 0.500

Values from the calculation:
Theoretical density: 8.48 g/cm3
Calculated volume: 27.8 Å³/atom
E_tot: -25.6 eV for the cell shown

No. 6
The following is a PBE calculation of Mg3ZnOs after structural relaxation, from Alexandria.

Unit cell a=4.718 b=4.718 c=4.718 alpha=90.00 beta=90.00 gamma=90.00
Space group Pm-3m (No. 221)
Inequivalent atoms, fractional coordinates:
Mg: 0.000 0.000 0.500
Zn: 0.000 0.000 0.000
Os: 0.500 0.500 0.500

Values from the calculation:
Theoretical density: 5.19 g/cm3
Offset from the most stable computed form: 377 meV/atom
ΔH_f (0 K): 497.3 kJ/mol of formula units
Calculated volume: 21.0 Å³/atom

No. 7
The following is a PBE calculation of Sr5Ca6 after structural relaxation, from Alexandria.

Unit cell a=13.407 b=11.887 c=7.005 alpha=90.00 beta=98.86 gamma=90.00
Space group C2/m (No. 12)
Inequivalent atoms, fractional coordinates:
Sr: 0.000 0.000 0.000
Sr: 0.000 0.177 0.500
Sr: 0.000 0.339 0.000
Ca: 0.250 0.000 0.733
Ca: 0.250 0.165 0.241

Values from the calculation:
Theoretical density: 2.04 g/cm3
Offset from the most stable computed form: 21 meV/atom
ΔH_f (0 K): 120.4 kJ/mol of formula units
Calculated volume: 50.1 Å³/atom

No. 8
The following is a PBE calculation of CdNiAs after structural relaxation, from Alexandria.

Unit cell a=5.990 b=5.990 c=5.990 alpha=90.00 beta=90.00 gamma=90.00
Space group F-43m (No. 216)
Inequivalent atoms, fractional coordinates:
Cd: 0.000 0.000 0.000
Ni: 0.250 0.250 0.250
As: 0.000 0.000 0.500

Values from the calculation:
Theoretical density: 7.60 g/cm3
ΔH_f (0 K): -17.2 kJ/mol of formula units
Calculated volume: 17.9 Å³/atom

No. 9
The following is a PBE calculation of InIr2Pt after structural relaxation, from Alexandria.

Unit cell a=4.062 b=4.062 c=7.801 alpha=90.00 beta=90.00 gamma=90.00
Space group I4/mmm (No. 139)
Inequivalent atoms, fractional coordinates:
In: 0.000 0.000 0.000
Ir: 0.000 0.500 0.250
Pt: 0.000 0.000 0.500

Values from the calculation:
Theoretical density: 17.91 g/cm3
ΔH_f (0 K): 20.6 kJ/mol of formula units
Calculated volume: 16.1 Å³/atom

No. 10
The following is a PBE calculation of CeAl3Fe2 after structural relaxation, from Alexandria.

Unit cell a=9.625 b=8.101 c=5.127 alpha=90.00 beta=90.00 gamma=90.00
Space group Cmcm (No. 63)
Inequivalent atoms, fractional coordinates:
Ce: 0.000 0.141 0.250
Al: 0.000 0.464 0.750
Al: 0.189 0.231 0.750
Fe: 0.220 0.500 0.000

Values from the calculation:
Theoretical density: 5.53 g/cm3
ΔH_f (0 K): -198.6 kJ/mol of formula units
Calculated volume: 16.7 Å³/atom

No. 11
The following is a PBE calculation of In12Sn4Bi after structural relaxation, from Alexandria.

Unit cell a=10.260 b=10.260 c=10.260 alpha=90.00 beta=90.00 gamma=90.00
Space group Im-3 (No. 204)
Inequivalent atoms, fractional coordinates:
In: 0.000 0.345 0.144
Sn: 0.250 0.250 0.250
Bi: 0.000 0.000 0.000

Values from the calculation:
Theoretical density: 6.34 g/cm3
ΔH_f (0 K): 276.6 kJ/mol of formula units
Calculated volume: 31.8 Å³/atom

No. 12
The following is a PBE calculation of ErLu2Al after structural relaxation, from Alexandria.

Unit cell a=3.458 b=3.458 c=8.796 alpha=90.00 beta=90.00 gamma=90.00
Space group P4/mmm (No. 123)
Inequivalent atoms, fractional coordinates:
Er: 0.000 0.000 0.000
Lu: 0.500 0.500 0.285
Al: 0.000 0.000 0.500

Values from the calculation:
Theoretical density: 8.59 g/cm3
Offset from the most stable computed form: 0 meV/atom
ΔH_f (0 K): -77.0 kJ/mol of formula units
Calculated volume: 26.3 Å³/atom

No. 13
The following is a PBE calculation of RbSr2Sn6 after structural relaxation, from Alexandria.

Unit cell a=4.588 b=11.069 c=13.293 alpha=90.00 beta=90.00 gamma=90.00
Space group Immm (No. 71)
Inequivalent atoms, fractional coordinates:
Rb: 0.000 0.000 0.000
Sr: 0.000 0.500 0.150
Sn: 0.000 0.144 0.500
Sn: 0.000 0.286 0.318

Values from the calculation:
Theoretical density: 4.79 g/cm3
ΔH_f (0 K): -275.9 kJ/mol of formula units
Calculated volume: 37.5 Å³/atom

No. 14
The following is a PBE calculation of SrSn2Ir2 after structural relaxation, from Alexandria.

Unit cell a=8.093 b=8.093 c=3.148 alpha=90.00 beta=90.00 gamma=90.00
Space group P4/mbm (No. 127)
Inequivalent atoms, fractional coordinates:
Sr: 0.000 0.000 0.000
Sn: 0.155 0.345 0.500
Ir: 0.135 0.635 0.000

Values from the calculation:
Theoretical density: 11.43 g/cm3
ΔH_f (0 K): -76.6 kJ/mol of formula units
Calculated volume: 20.6 Å³/atom

No. 15
The following is a PBE calculation of NaCu2Bi after structural relaxation, from Alexandria.

Unit cell a=4.951 b=4.951 c=18.072 alpha=90.00 beta=90.00 gamma=90.00
Space group I-42d (No. 122)
Inequivalent atoms, fractional coordinates:
Na: 0.000 0.000 0.000
Cu: 0.001 0.750 0.625
Bi: 0.000 0.000 0.500

Values from the calculation:
Theoretical density: 5.38 g/cm3
ΔH_f (0 K): 95.6 kJ/mol of formula units
Calculated volume: 27.7 Å³/atom

No. 16
The following is a PBE calculation of Tl2TeAu2 after structural relaxation, from Alexandria.

Unit cell a=3.905 b=3.905 c=18.329 alpha=90.00 beta=90.00 gamma=90.00
Space group I4/mmm (No. 139)
Inequivalent atoms, fractional coordinates:
Tl: 0.000 0.000 0.106
Te: 0.000 0.000 0.500
Au: 0.000 0.500 0.250

Values from the calculation:
Theoretical density: 11.06 g/cm3
Offset from the most stable computed form: 38 meV/atom
Calculated volume: 27.9 Å³/atom

No. 17
The following is a PBE calculation of Zr2SiPb after structural relaxation, from Alexandria.

Unit cell a=6.966 b=6.966 c=6.966 alpha=90.00 beta=90.00 gamma=90.00
Space group Fm-3m (No. 225)
Inequivalent atoms, fractional coordinates:
Zr: 0.250 0.250 0.250
Si: 0.000 0.000 0.000
Pb: 0.000 0.000 0.500

Values from the calculation:
Theoretical density: 8.21 g/cm3
Offset from the most stable computed form: 358 meV/atom
Calculated volume: 21.1 Å³/atom

No. 18
The following is a PBE calculation of Cs3Pu2I3Br4 after structural relaxation, from Alexandria.

Unit cell a=6.282 b=30.756 c=5.878 alpha=90.00 beta=90.00 gamma=90.00
Space group Imm2 (No. 44)
Inequivalent atoms, fractional coordinates:
Cs: 0.000 0.000 0.000
Cs: 0.000 0.183 0.000
Pu: 0.000 0.395 0.000
I: 0.000 0.097 0.500
I: 0.000 0.500 0.999
Br: 0.000 0.300 0.999
Br: 0.000 0.396 0.500

Values from the calculation:
Theoretical density: 4.64 g/cm3
Calculated volume: 47.3 Å³/atom
E_tot: -120.0 eV for the cell shown

No. 19
The following is a PBE calculation of PmDyYN3 after structural relaxation, from Alexandria.

Unit cell a=6.042 b=3.492 c=9.104 alpha=90.00 beta=101.48 gamma=90.00
Space group P2_1/m (No. 11)
Inequivalent atoms, fractional coordinates:
Pm: 0.158 0.250 0.199
Dy: 0.348 0.250 0.861
Y: 0.269 0.750 0.545
N: 0.039 0.250 0.668
N: 0.253 0.750 0.995
N: 0.463 0.750 0.345

Values from the calculation:
Theoretical density: 7.73 g/cm3
Calculated volume: 15.7 Å³/atom
E_tot: -98.5 eV for the cell shown

No. 20
The following is a PBE calculation of La3PmNd6Er2 after structural relaxation, from Alexandria.

Unit cell a=6.352 b=11.011 c=12.159 alpha=90.00 beta=100.09 gamma=90.00
Space group C2/m (No. 12)
Inequivalent atoms, fractional coordinates:
La: 0.000 0.000 0.000
La: 0.000 0.333 0.000
Pm: 0.000 0.500 0.500
Nd: 0.247 0.000 0.744
Nd: 0.249 0.333 0.744
Er: 0.000 0.167 0.500

Values from the calculation:
Theoretical density: 6.99 g/cm3
ΔH_f (0 K): 22.5 kJ/mol of formula units
Calculated volume: 34.9 Å³/atom